Record 1
A geometry-optimized CaNi2Rh2 structure, computed with PBE-GGA.

E_tot = -5.665 eV/atom
calculated formation energy = -0.011 eV per atom
relative energy among the computed polymorphs = 16 meV/atom

```
data_CaNi2Rh2
_chemical_formula_sum 'Ca2 Ni4 Rh4'
_symmetry_space_group_name_H-M 'I 4/m m m'
_symmetry_Int_Tables_number 139
_symmetry_space_group_name_Hall '-I 4 2'
_cell_length_a 4.050
_cell_length_b 4.050
_cell_length_c 10.182
_cell_angle_alpha 90.00
_cell_angle_beta 90.00
_cell_angle_gamma 90.00
loop_
_atom_site_label
_atom_site_type_symbol
_atom_site_fract_x
_atom_site_fract_y
_atom_site_fract_z
_atom_site_occupancy
Ca1 Ca 0.000 0.000 0.000 1
Ni1 Ni 0.000 0.000 0.389 1
Rh1 Rh 0.000 0.500 0.250 1
```

---

Record 2
A geometry-optimized Co2SiTc structure, computed with PBE-GGA.

E_tot = -7.590 eV/atom

```
data_Co2SiTc
_chemical_formula_sum 'Co6 Si3 Tc3'
_symmetry_space_group_name_H-M 'R -3 m'
_symmetry_Int_Tables_number 166
_symmetry_space_group_name_Hall '-R 3 2"'
_cell_length_a 2.6346
_cell_length_b 2.6346
_cell_length_c 23.6808
_cell_angle_alpha 90.00
_cell_angle_beta 90.00
_cell_angle_gamma 120.00
loop_
_atom_site_label
_atom_site_type_symbol
_atom_site_fract_x
_atom_site_fract_y
_atom_site_fract_z
_atom_site_occupancy
Co1 Co 0.0000 0.0000 0.2436 1
Si1 Si 0.0000 0.0000 0.5000 1
Tc1 Tc 0.0000 0.0000 0.0000 1
```

---

> Look up the E_tot of the second one.

-7.590 eV/atom

---

> Among the records above, which one has the highest E_tot?

CaNi2Rh2

---

> Among the records above, which one has the highest E_tot?

CaNi2Rh2

---

> What is the E_tot in the first record?

-5.665 eV/atom